Record 1
Here is crystalline YTlCBr2 at its relaxed geometry from Alexandria via LeMat-Bulk. Energies are from PBEsol.

Results
VASP energy, eV for the cell shown: -19.37

Cell: 5.340 5.340 6.454 Å, 90.00 90.00 90.00°
Space group P4/mmm (No. 123)
Symmetry-distinct sites (fractional):
Y 0.000 0.000 0.000 [1 per cell]
Tl 0.000 0.000 0.500 [1 per cell]
C 0.500 0.500 0.500 [1 per cell]
Br 0.000 0.500 0.000 [2 per cell]

***

Record 2
Here is crystalline YC2Br at its relaxed geometry from Alexandria via LeMat-Bulk. Energies are from PBEsol.

Results
VASP energy, eV for the cell shown: -84.20

Cell: 6.127 6.127 6.127 Å, 90.00 90.00 90.00°
Space group Fm-3m (No. 225)
Symmetry-distinct sites (fractional):
Y 0.000 0.000 0.000 [4 per cell]
C 0.250 0.250 0.250 [8 per cell]
Br 0.000 0.000 0.500 [4 per cell]

***

Record 3
Here is crystalline YCBr at its relaxed geometry from Alexandria via LeMat-Bulk. Energies are from PBEsol.

Results
VASP energy, eV for the cell shown: -86.74

Cell: 6.881 3.735 10.225 Å, 90.00 98.96 90.00°
Space group C2/m (No. 12)
Symmetry-distinct sites (fractional):
Y 0.089 0.000 0.356 [4 per cell]
C 0.088 0.500 0.538 [4 per cell]
Br 0.206 0.500 0.171 [4 per cell]

***

Record 4
Here is crystalline ZnCBr3 at its relaxed geometry from Alexandria via LeMat-Bulk. Energies are from PBEsol.

Results
VASP energy, eV for the cell shown: -10.65

Cell: 5.014 5.014 5.014 Å, 90.00 90.00 90.00°
Space group Pm-3m (No. 221)
Symmetry-distinct sites (fractional):
Zn 0.000 0.000 0.000 [1 per cell]
C 0.500 0.500 0.500 [1 per cell]
Br 0.000 0.000 0.500 [3 per cell]

***

Record 5
Here is crystalline ZrC2Br2 at its relaxed geometry from Alexandria via LeMat-Bulk. Energies are from PBEsol.

Results
VASP energy, eV for the cell shown: -47.21

Cell: 7.060 7.060 3.057 Å, 90.00 90.00 90.00°
Space group P4/mbm (No. 127)
Symmetry-distinct sites (fractional):
Zr 0.000 0.000 0.000 [2 per cell]
C 0.210 0.290 0.500 [4 per cell]
Br 0.136 0.636 0.000 [4 per cell]

***

Record 6
Here is crystalline Ca5Br at its relaxed geometry from Alexandria via LeMat-Bulk. Energies are from PBEsol.

Results
VASP energy, eV for the cell shown: -28.82

Cell: 6.167 3.939 19.256 Å, 90.00 90.00 90.00°
Space group Amm2 (No. 38)
Symmetry-distinct sites (fractional):
Ca 0.000 0.000 0.000 [2 per cell]
Ca 0.000 0.000 0.327 [2 per cell]
Ca 0.500 0.000 0.206 [2 per cell]
Ca 0.500 0.000 0.539 [2 per cell]
Ca 0.500 0.000 0.877 [2 per cell]
Br 0.000 0.000 0.614 [2 per cell]

***

Record 7
Here is crystalline CaBr3 at its relaxed geometry from Alexandria via LeMat-Bulk. Energies are from PBEsol.

Results
VASP energy, eV for the cell shown: -25.94

Cell: 5.855 5.855 5.855 Å, 90.00 90.00 90.00°
Space group Pm-3n (No. 223)
Symmetry-distinct sites (fractional):
Ca 0.000 0.000 0.000 [2 per cell]
Br 0.000 0.250 0.500 [6 per cell]

***

Record 8
Here is crystalline CaBr5 at its relaxed geometry from Alexandria via LeMat-Bulk. Energies are from PBEsol.

Results
E above lowest polymorph, eV per atom: 0.216

Cell: 8.594 8.594 8.594 Å, 90.00 90.00 90.00°
Space group F-43m (No. 216)
Symmetry-distinct sites (fractional):
Ca 0.000 0.000 0.000 [4 per cell]
Br 0.125 0.125 0.375 [16 per cell]
Br 0.250 0.250 0.750 [4 per cell]

***

Copy entry 2 word for word.
Here is crystalline YC2Br at its relaxed geometry from Alexandria via LeMat-Bulk. Energies are from PBEsol.

Results
VASP energy, eV for the cell shown: -84.20

Cell: 6.127 6.127 6.127 Å, 90.00 90.00 90.00°
Space group Fm-3m (No. 225)
Symmetry-distinct sites (fractional):
Y 0.000 0.000 0.000 [4 per cell]
C 0.250 0.250 0.250 [8 per cell]
Br 0.000 0.000 0.500 [4 per cell]